Record 1
DFT (PBE) results for Ta2SiTe after structural relaxation.

Cell: 4.7068 4.7068 4.7068 Å, 60.00 60.00 60.00°
Closest atoms and distances in Å follow each position.
Sites, in units of the cell vectors:
Ta1 0.0000 0.0000 0.0000  4 Te 2.88, 4 Ta 2.88
Ta2 0.2500 0.2500 0.2500  4 Ta 2.88, 4 Si 2.88
Te1 0.7500 0.7500 0.7500  4 Si 2.88, 4 Ta 2.88
Si1 0.5000 0.5000 0.5000  4 Ta 2.88, 4 Te 2.88

ΔE_f (raw): 0.359 eV per atom
Spin magnetization: 0.0 μB/f.u.
ρ: 11.66 g/cm³
E above lowest polymorph: 0.534 eV per atom

=====

Record 2
DFT (PBE) results for KMgFe2Br8 after structural relaxation.

Cell: 6.7941 6.7941 9.6954 Å, 90.00 90.00 120.00°
Closest atoms and distances in Å follow each position.
Sites, in units of the cell vectors:
Br1 0.3333 0.6667 0.9817  1 Fe 2.35
Br2 0.9998 0.6815 0.3324  1 Fe 2.42, 1 Mg 2.71
Br3 0.0002 0.3185 0.6676  1 Fe 2.42, 1 Mg 2.71
Br4 0.3185 0.3183 0.3324  1 Fe 2.42, 1 Mg 2.71
Br5 0.3183 0.9998 0.6676  1 Fe 2.42, 1 Mg 2.71
Br6 0.6815 0.6817 0.6676  1 Fe 2.42, 1 Mg 2.71
Br7 0.6667 0.3333 0.0183  1 Fe 2.35
Br8 0.6817 0.0002 0.3324  1 Fe 2.42, 1 Mg 2.71
Mg1 0.0000 0.0000 0.5000  6 Br 2.71
Fe1 0.3333 0.6667 0.7388  4 Br 2.35-2.42
Fe2 0.6667 0.3333 0.2612  4 Br 2.35-2.42
K1 0.0000 0.0000 0.0000  12 Br 3.88-3.93

ΔE_f (raw): -0.907 eV per atom
Spin magnetization: 9.0 μB/f.u.
ρ: 3.49 g/cm³

=====

Record 3
DFT (PBE) results for ZnNiBr after structural relaxation.

Cell: 3.4541 5.9618 6.3050 Å, 115.46 105.35 90.46°
Closest atoms and distances in Å follow each position.
Sites, in units of the cell vectors:
Br1 0.3250 0.2782 0.1556  3 Ni 2.51-2.76, 1 Zn 2.57
Br2 0.6750 0.7218 0.8444  3 Ni 2.51-2.76, 1 Zn 2.57
Zn1 0.5678 0.2397 0.6343  4 Ni 2.45-2.56, 1 Br 2.57, 1 Zn 2.58
Zn2 0.4322 0.7603 0.3657  4 Ni 2.45-2.56, 1 Br 2.57, 1 Zn 2.58
Ni1 0.9029 0.0129 0.2974  4 Zn 2.45-2.56, 2 Br 2.51-2.70, 1 Ni 2.54
Ni2 0.0971 0.9871 0.7026  4 Zn 2.45-2.56, 2 Br 2.51-2.70, 1 Ni 2.54

ΔE_f (raw): -0.081 eV per atom
Spin magnetization: 0.1 μB/f.u.
ρ: 6.05 g/cm³
E above lowest polymorph: 0.157 eV per atom

=====

Record 4
DFT (PBE) results for Pr2PRu after structural relaxation.

Cell: 3.9502 3.9502 8.9653 Å, 77.27 77.27 60.00°
Closest atoms and distances in Å follow each position.
Sites, in units of the cell vectors:
P1 0.5000 0.5000 0.5000  6 Pr 2.86
Pr1 0.8999 0.8999 0.3003  1 Ru 2.60, 3 P 2.86
Pr2 0.1001 0.1001 0.6997  1 Ru 2.60, 3 P 2.86
Ru1 0.0000 0.0000 0.0000  2 Pr 2.60

Spin magnetization: 0.5 μB/f.u.
Energy of formation from the pure elements: 0.021 eV per atom
ρ: 5.87 g/cm³

=====

Record 5
DFT (PBE) results for PICl2F after structural relaxation.

Cell: 5.3148 5.3148 5.4796 Å, 90.00 90.00 90.00°
Closest atoms and distances in Å follow each position.
Sites, in units of the cell vectors:
F1 0.5000 0.5000 0.5000  4 P 3.76, 8 Cl 3.82
Cl1 0.5000 0.0000 0.0000  2 I 2.66
Cl2 0.0000 0.5000 0.0000  2 I 2.66
I1 0.0000 0.0000 0.0000  4 Cl 2.66, 2 P 2.74
P1 0.0000 0.0000 0.5000  2 I 2.74

ΔE_f (raw): 0.545 eV per atom
Spin magnetization: 1.0 μB/f.u.
ρ: 2.66 g/cm³
E above lowest polymorph: 0.309 eV per atom

=====

Record 6
DFT (PBE) results for HgRu2Rh2 after structural relaxation.

Cell: 7.5819 7.5819 2.7785 Å, 90.00 90.00 90.00°
Closest atoms and distances in Å follow each position.
Sites, in units of the cell vectors:
Rh1 0.8263 0.3263 0.5000  6 Ru 2.62-2.65, 2 Rh 2.78
Rh2 0.1737 0.6737 0.5000  6 Ru 2.62-2.65, 2 Rh 2.78
Rh3 0.3263 0.1737 0.5000  6 Ru 2.62-2.65, 2 Rh 2.78
Rh4 0.6737 0.8263 0.5000  6 Ru 2.62-2.65, 2 Rh 2.78
Hg1 0.0000 0.0000 0.0000  2 Hg 2.78, 4 Ru 3.03
Hg2 0.5000 0.5000 0.0000  2 Hg 2.78, 4 Ru 3.03
Ru1 0.1190 0.3810 0.0000  3 Ru 2.55-2.78, 6 Rh 2.62-2.65
Ru2 0.8810 0.6190 0.0000  3 Ru 2.55-2.78, 6 Rh 2.62-2.65
Ru3 0.3810 0.8810 0.0000  3 Ru 2.55-2.78, 6 Rh 2.62-2.65
Ru4 0.6190 0.1190 0.0000  3 Ru 2.55-2.78, 6 Rh 2.62-2.65

Spin magnetization: 0.0 μB/f.u.
Energy of formation from the pure elements: 0.351 eV per atom
ρ: 12.65 g/cm³
E above lowest polymorph: 0.000 eV per atom

=====

Record 7
DFT (PBE) results for Nd12AlHg6 after structural relaxation.

Cell: 9.1393 9.1393 9.1393 Å, 111.06 111.06 111.06°
Closest atoms and distances in Å follow each position.
Sites, in units of the cell vectors:
Nd1 0.7382 0.1042 0.1747  6 Nd 3.27-3.61, 5 Hg 3.30-3.50, 1 Al 3.53
Nd2 0.8253 0.2618 0.8958  6 Nd 3.27-3.61, 5 Hg 3.30-3.50, 1 Al 3.53
Nd3 0.2618 0.8958 0.8253  6 Nd 3.27-3.61, 5 Hg 3.30-3.50, 1 Al 3.53
Nd4 0.8054 0.6757 0.5347  4 Hg 3.26-3.51, 7 Nd 3.27-3.61, 1 Al 3.43
Nd5 0.4653 0.1946 0.3243  4 Hg 3.26-3.51, 7 Nd 3.27-3.61, 1 Al 3.43
Nd6 0.8958 0.8253 0.2618  6 Nd 3.27-3.61, 5 Hg 3.30-3.50, 1 Al 3.53
Nd7 0.5347 0.8054 0.6757  4 Hg 3.26-3.51, 7 Nd 3.27-3.61, 1 Al 3.43
Nd8 0.6757 0.5347 0.8054  4 Hg 3.26-3.51, 7 Nd 3.27-3.61, 1 Al 3.43
Nd9 0.1946 0.3243 0.4653  4 Hg 3.26-3.51, 7 Nd 3.27-3.61, 1 Al 3.43
Nd10 0.3243 0.4653 0.1946  4 Hg 3.26-3.51, 7 Nd 3.27-3.61, 1 Al 3.43
Nd11 0.1042 0.1747 0.7382  6 Nd 3.27-3.61, 5 Hg 3.30-3.50, 1 Al 3.53
Nd12 0.1747 0.7382 0.1042  6 Nd 3.27-3.61, 5 Hg 3.30-3.50, 1 Al 3.53
Hg1 0.0585 0.5757 0.3552  9 Nd 3.26-3.51, 2 Hg 3.46
Hg2 0.9415 0.4243 0.6448  9 Nd 3.26-3.51, 2 Hg 3.46
Hg3 0.6448 0.9415 0.4243  9 Nd 3.26-3.51, 2 Hg 3.46
Hg4 0.3552 0.0585 0.5757  9 Nd 3.26-3.51, 2 Hg 3.46
Hg5 0.5757 0.3552 0.0585  9 Nd 3.26-3.51, 2 Hg 3.46
Hg6 0.4243 0.6448 0.9415  9 Nd 3.26-3.51, 2 Hg 3.46
Al1 0.0000 0.0000 0.0000  12 Nd 3.43-3.53

Spin magnetization: 0.0 μB/f.u.
Energy of formation from the pure elements: -0.227 eV per atom
ρ: 8.93 g/cm³

=====

Record 8
DFT (PBE) results for PuTlHgPt after structural relaxation.

Cell: 5.0732 5.0732 5.0732 Å, 60.00 60.00 60.00°
Closest atoms and distances in Å follow each position.
Sites, in units of the cell vectors:
Tl1 0.7500 0.7500 0.7500  4 Pt 3.11, 4 Hg 3.11
Pt1 0.0000 0.0000 0.0000  4 Tl 3.11, 4 Pu 3.11
Pu1 0.2500 0.2500 0.2500  4 Hg 3.11, 4 Pt 3.11
Hg1 0.5000 0.5000 0.5000  4 Pu 3.11, 4 Tl 3.11

Spin magnetization: 5.4 μB/f.u.
Energy of formation from the pure elements: -0.213 eV per atom
ρ: 15.18 g/cm³

=====

Record 9
DFT (PBE) results for TeRuPtC2 after structural relaxation.

Cell: 3.8537 5.6957 3.8537 Å, 90.00 90.00 90.00°
Closest atoms and distances in Å follow each position.
Sites, in units of the cell vectors:
C1 0.5000 0.0000 0.0000  2 Pt 1.93
C2 0.0000 0.0000 0.5000  2 Pt 1.93
Te1 0.5000 0.5000 0.5000  4 Ru 2.72
Ru1 0.0000 0.5000 0.0000  4 Te 2.72, 2 Pt 2.85
Pt1 0.0000 0.0000 0.0000  4 C 1.93

ΔE_f (raw): 1.585 eV per atom
Spin magnetization: 0.0 μB/f.u.
ρ: 8.79 g/cm³

=====

Record 10
DFT (PBE) results for Li2PRu after structural relaxation.

Cell: 8.7953 8.7953 8.7953 Å, 17.55 17.55 17.55°
Closest atoms and distances in Å follow each position.
Sites, in units of the cell vectors:
P1 0.2500 0.2500 0.2500  6 Li 2.57, 6 P 2.68
Li1 0.5046 0.5046 0.5046  3 P 2.57, 6 Li 2.68, 3 Ru 2.76
Li2 0.9954 0.9954 0.9954  3 P 2.57, 6 Li 2.68, 3 Ru 2.76
Ru1 0.7500 0.7500 0.7500  6 Ru 2.68, 6 Li 2.76

Spin magnetization: 0.4 μB/f.u.
Energy of formation from the pure elements: 0.046 eV per atom
ρ: 4.49 g/cm³

=====

Record 11
DFT (PBE) results for K2CaS2 after structural relaxation.

Cell: 8.2512 8.2512 3.8333 Å, 90.00 90.00 90.00°
Closest atoms and distances in Å follow each position.
Sites, in units of the cell vectors:
S1 0.6882 0.8118 0.5000  6 K 2.97-3.22
S2 0.8118 0.3118 0.5000  6 K 2.97-3.22
S3 0.3118 0.1882 0.5000  6 K 2.97-3.22
S4 0.1882 0.6882 0.5000  6 K 2.97-3.22
K1 0.1177 0.3823 0.0000  1 K 2.75, 2 S 2.97
K2 0.8823 0.6177 0.0000  1 K 2.75, 2 S 2.97
K3 0.6177 0.1177 0.0000  1 K 2.75, 2 S 2.97
K4 0.3823 0.8823 0.0000  1 K 2.75, 2 S 2.97
Ca1 0.0000 0.0000 0.0000  4 K 3.30, 8 S 3.56
Ca2 0.5000 0.5000 0.0000  4 K 3.30, 8 S 3.56

ΔE_f (raw): -0.844 eV per atom
Spin magnetization: 0.0 μB/f.u.
ρ: 2.32 g/cm³
E above lowest polymorph: 0.328 eV per atom

=====

Record 12
DFT (PBE) results for TmMgZn2Au2 after structural relaxation.

Cell: 4.5120 4.5120 6.4741 Å, 90.00 90.00 120.00°
Closest atoms and distances in Å follow each position.
Sites, in units of the cell vectors:
Zn1 0.3333 0.6667 0.7204  3 Au 2.61
Zn2 0.6667 0.3333 0.2796  3 Au 2.61
Au1 0.3333 0.6667 0.2601  3 Zn 2.61
Au2 0.6667 0.3333 0.7399  3 Zn 2.61
Mg1 0.0000 0.0000 0.5000  6 Zn 2.97, 6 Au 3.03, 2 Tm 3.24
Tm1 0.0000 0.0000 0.0000  6 Au 3.10, 6 Zn 3.17, 2 Mg 3.24

Spin magnetization: 0.0 μB/f.u.
Energy of formation from the pure elements: -0.549 eV per atom
ρ: 10.45 g/cm³

=====

Record 13
DFT (PBE) results for Ba2H2I after structural relaxation.

Cell: 8.2819 8.2819 3.8068 Å, 90.00 90.00 90.00°
Closest atoms and distances in Å follow each position.
Sites, in units of the cell vectors:
H1 0.8862 0.6138 0.0000  1 H 2.67
H2 0.3862 0.8862 0.0000  1 H 2.67
H3 0.1138 0.3862 0.0000  1 H 2.67
H4 0.6138 0.1138 0.0000  1 H 2.67
Ba1 0.8382 0.3382 0.5000  6 H 3.00-3.24
Ba2 0.6618 0.8382 0.5000  6 H 3.00-3.24
Ba3 0.3382 0.1618 0.5000  6 H 3.00-3.24
Ba4 0.1618 0.6618 0.5000  6 H 3.00-3.24
I1 0.0000 0.0000 0.0000  4 H 3.33, 8 Ba 3.64
I2 0.5000 0.5000 0.0000  4 H 3.33, 8 Ba 3.64

Spin magnetization: 0.8 μB/f.u.
ρ: 5.13 g/cm³
E above lowest polymorph: 0.287 eV per atom

=====

Record 14
DFT (PBE) results for Ac4IrPtS2 after structural relaxation.

Cell: 4.2918 7.4224 7.9400 Å, 108.17 90.00 90.00°
Closest atoms and distances in Å follow each position.
Sites, in units of the cell vectors:
S1 0.0000 0.5000 0.5000  6 Ac 3.20-3.21
S2 0.5000 0.0000 0.5000  6 Ac 3.16-3.17
Ac1 0.0000 0.2501 0.7648  1 Ir 3.02, 2 Pt 3.06, 3 S 3.17-3.21
Ac2 0.0000 0.7499 0.2352  1 Ir 3.02, 2 Pt 3.06, 3 S 3.17-3.21
Ac3 0.5000 0.2395 0.2338  2 Ir 3.03, 1 Pt 3.07, 3 S 3.16-3.20
Ac4 0.5000 0.7605 0.7662  2 Ir 3.03, 1 Pt 3.07, 3 S 3.16-3.20
Ir1 0.0000 0.0000 0.0000  6 Ac 3.02-3.03
Pt1 0.5000 0.5000 0.0000  6 Ac 3.06-3.07

ΔE_f (raw): -1.433 eV per atom
Spin magnetization: 0.0 μB/f.u.
ρ: 9.39 g/cm³

=====

Record 15
DFT (PBE) results for ReSbAsBr2 after structural relaxation.

Cell: 5.1020 5.1020 4.8765 Å, 90.00 90.00 90.00°
Closest atoms and distances in Å follow each position.
Sites, in units of the cell vectors:
As1 0.0000 0.0000 0.5000  2 Re 2.44
Re1 0.0000 0.0000 0.0000  2 As 2.44, 4 Br 2.55
Br1 0.5000 0.0000 0.0000  2 Re 2.55
Br2 0.0000 0.5000 0.0000  2 Re 2.55
Sb1 0.5000 0.5000 0.5000  8 Br 3.53, 4 As 3.61

ΔE_f (raw): 0.728 eV per atom
Spin magnetization: 1.5 μB/f.u.
ρ: 7.10 g/cm³
E above lowest polymorph: 0.000 eV per atom

=====

Record 16
DFT (PBE) results for In2Pt3Rh after structural relaxation.

Cell: 4.1017 5.8104 8.4988 Å, 90.00 90.00 90.00°
Closest atoms and distances in Å follow each position.
Sites, in units of the cell vectors:
In1 0.0000 0.8437 0.3492  6 Pt 2.73-3.04, 4 Rh 2.76-2.89
In2 0.5000 0.1553 0.1578  9 Pt 2.80-3.01, 1 Rh 2.80
In3 0.0000 0.3437 0.6508  6 Pt 2.73-3.04, 4 Rh 2.76-2.89
In4 0.5000 0.6553 0.8422  9 Pt 2.80-3.01, 1 Rh 2.80
Pt1 0.5000 0.6371 0.1736  5 In 2.80-3.01, 6 Pt 2.91-2.92, 1 Rh 2.92
Pt2 0.0000 0.3659 0.3299  5 In 2.73-3.04, 4 Rh 2.90-2.91, 3 Pt 2.91-2.92
Pt3 0.0000 0.4059 0.9878  5 In 2.80-2.90, 7 Pt 2.91-2.92
Pt4 0.0000 0.9059 0.0122  5 In 2.80-2.90, 7 Pt 2.91-2.92
Pt5 0.5000 0.1371 0.8264  5 In 2.80-3.01, 6 Pt 2.91-2.92, 1 Rh 2.92
Pt6 0.0000 0.8659 0.6701  5 In 2.73-3.04, 4 Rh 2.90-2.91, 3 Pt 2.91-2.92
Rh1 0.5000 0.0921 0.4846  5 In 2.76-2.89, 5 Pt 2.90-2.92, 2 Rh 2.92
Rh2 0.5000 0.5921 0.5154  5 In 2.76-2.89, 5 Pt 2.90-2.92, 2 Rh 2.92

Spin magnetization: 0.0 μB/f.u.
Energy of formation from the pure elements: -0.354 eV per atom
ρ: 15.05 g/cm³

=====

Record 17
DFT (PBE) results for LiVCd2Os after structural relaxation.

Cell: 5.2840 4.5092 5.2840 Å, 90.00 90.00 90.00°
Closest atoms and distances in Å follow each position.
Sites, in units of the cell vectors:
Li1 0.5000 0.5000 0.5000  8 Cd 3.47, 4 V 3.74
Cd1 0.5000 0.0000 0.0000  2 Os 2.64
Cd2 0.0000 0.0000 0.5000  2 Os 2.64
V1 0.0000 0.5000 0.0000  2 Os 2.25
Os1 0.0000 0.0000 0.0000  2 V 2.25

Spin magnetization: 1.5 μB/f.u.
Energy of formation from the pure elements: 0.638 eV per atom
ρ: 6.24 g/cm³

=====

Record 18
DFT (PBE) results for TaRe2Ir after structural relaxation.

Cell: 4.8660 4.8660 2.7938 Å, 90.00 90.00 109.93°
Closest atoms and distances in Å follow each position.
Sites, in units of the cell vectors:
Ir1 0.0000 0.5000 0.5000  2 Ta 2.79, 2 Ir 2.79, 8 Re 2.81
Re1 0.0000 0.0000 0.0000  4 Re 2.79, 4 Ta 2.81, 4 Ir 2.81
Re2 0.5000 0.5000 0.0000  4 Re 2.79, 4 Ir 2.81, 4 Ta 2.81
Ta1 0.5000 0.0000 0.5000  2 Ir 2.79, 2 Ta 2.79, 8 Re 2.81

Spin magnetization: 0.0 μB/f.u.
Energy of formation from the pure elements: -0.084 eV per atom
ρ: 19.91 g/cm³
E above lowest polymorph: 0.128 eV per atom

=====

Record 19
DFT (PBE) results for CsNaThSe3 after structural relaxation.

Cell: 4.4887 8.3378 11.6370 Å, 90.00 90.00 105.62°
Closest atoms and distances in Å follow each position.
Sites, in units of the cell vectors:
Th1 0.0000 0.0000 0.5000  6 Se 2.95-2.99
Th2 0.0000 0.0000 0.0000  6 Se 2.95-2.99
Cs1 0.7253 0.4506 0.7500  4 Se 3.67-3.68
Cs2 0.2747 0.5494 0.2500  4 Se 3.67-3.68
Se1 0.6178 0.2357 0.0285  1 Na 2.76, 2 Th 2.95
Se2 0.0440 0.0881 0.7500  2 Na 2.77, 2 Th 2.99
Se3 0.3822 0.7643 0.5285  1 Na 2.76, 2 Th 2.95
Se4 0.3822 0.7643 0.9715  1 Na 2.76, 2 Th 2.95
Se5 0.6178 0.2357 0.4715  1 Na 2.76, 2 Th 2.95
Se6 0.9560 0.9119 0.2500  2 Na 2.77, 2 Th 2.99
Na1 0.4431 0.8861 0.7500  4 Se 2.76-2.77
Na2 0.5569 0.1139 0.2500  4 Se 2.76-2.77

ΔE_f (raw): -1.483 eV per atom
Spin magnetization: 0.0 μB/f.u.
ρ: 4.95 g/cm³

=====

Record 20
DFT (PBE) results for Tb5Sm5Dy after structural relaxation.

Cell: 6.9520 8.5255 9.6050 Å, 44.44 89.46 104.53°
Closest atoms and distances in Å follow each position.
Sites, in units of the cell vectors:
Sm1 0.2459 0.0847 0.6442  1 Dy 3.30, 5 Tb 3.36-3.67, 3 Sm 3.54-3.59
Sm2 0.8596 0.5102 0.8488  5 Sm 3.44-3.82, 5 Tb 3.44-3.69
Sm3 0.1404 0.4898 0.1512  5 Sm 3.44-3.82, 5 Tb 3.44-3.69
Sm4 0.5000 0.0000 0.0000  2 Dy 3.48, 4 Sm 3.54-3.57, 4 Tb 3.62-3.68
Sm5 0.7541 0.9153 0.3558  1 Dy 3.30, 5 Tb 3.36-3.67, 3 Sm 3.54-3.59
Tb1 0.6476 0.4924 0.2156  1 Dy 3.29, 4 Sm 3.36-3.68, 3 Tb 3.46-3.56
Tb2 0.0000 0.5000 0.5000  4 Tb 3.44-3.71, 2 Dy 3.46, 4 Sm 3.55-3.67
Tb3 0.3524 0.5076 0.7844  1 Dy 3.29, 4 Sm 3.36-3.68, 3 Tb 3.46-3.56
Tb4 0.2887 0.0338 0.3207  5 Sm 3.44-3.62, 4 Tb 3.44-3.56, 1 Dy 3.83
Tb5 0.7113 0.9662 0.6793  5 Sm 3.44-3.62, 4 Tb 3.44-3.56, 1 Dy 3.83
Dy1 0.0000 0.0000 0.0000  4 Tb 3.29-3.46, 4 Sm 3.30-3.48

Spin magnetization: 0.0 μB/f.u.
Energy of formation from the pure elements: 0.143 eV per atom
ρ: 7.66 g/cm³
E above lowest polymorph: 0.000 eV per atom